# Be2OsSe (PBEsol, relaxed)
# Theoretical density: 10.0 g cm⁻³
data_Be2OsSe
_chemical_formula_sum 'Be4 Os2 Se2'
_symmetry_space_group_name_H-M 'I 4/m m m'
_symmetry_Int_Tables_number 139
_symmetry_space_group_name_Hall '-I 4 2'
_cell_length_a 3.586
_cell_length_b 3.586
_cell_length_c 7.403
_cell_angle_alpha 90.00
_cell_angle_beta 90.00
_cell_angle_gamma 90.00
loop_
_atom_site_label
_atom_site_type_symbol
_atom_site_fract_x
_atom_site_fract_y
_atom_site_fract_z
Be1 Be 0.000 0.500 0.250
Os1 Os 0.000 0.000 0.000
Se1 Se 0.000 0.000 0.500

# BeOs2Se (PBEsol, relaxed)
# E above lowest polymorph: 0.091 eV per atom
# Theoretical density: 14.7 g cm⁻³
data_BeOs2Se
_chemical_formula_sum 'Be1 Os2 Se1'
_symmetry_space_group_name_H-M 'P 1 2/m 1'
_symmetry_Int_Tables_number 10
_symmetry_space_group_name_Hall '-P 2y'
_cell_length_a 4.193
_cell_length_b 2.865
_cell_length_c 4.860
_cell_angle_alpha 90.00
_cell_angle_beta 114.69
_cell_angle_gamma 90.00
loop_
_atom_site_label
_atom_site_type_symbol
_atom_site_fract_x
_atom_site_fract_y
_atom_site_fract_z
Be1 Be 0.000 0.000 0.000
Os1 Os 0.500 0.000 0.500
Os2 Os 0.500 0.500 0.000
Se1 Se 0.000 0.500 0.500

# BeOs2Se (PBEsol, relaxed)
# E above lowest polymorph: 0.033 eV per atom
# Theoretical density: 14.9 g cm⁻³
data_BeOs2Se
_chemical_formula_sum 'Be1 Os2 Se1'
_symmetry_space_group_name_H-M 'P 4 m m'
_symmetry_Int_Tables_number 99
_symmetry_space_group_name_Hall 'P 4 -2'
_cell_length_a 3.018
_cell_length_b 3.018
_cell_length_c 5.737
_cell_angle_alpha 90.00
_cell_angle_beta 90.00
_cell_angle_gamma 90.00
loop_
_atom_site_label
_atom_site_type_symbol
_atom_site_fract_x
_atom_site_fract_y
_atom_site_fract_z
Be1 Be 0.000 0.000 0.000
Os1 Os 0.000 0.000 0.477
Os2 Os 0.500 0.500 0.149
Se1 Se 0.500 0.500 0.723

# Be2OsSe (PBEsol, relaxed)
# Theoretical density: 10.1 g cm⁻³
data_Be2OsSe
_chemical_formula_sum 'Be4 Os2 Se2'
_symmetry_space_group_name_H-M 'I m m 2'
_symmetry_Int_Tables_number 44
_symmetry_space_group_name_Hall 'I 2 -2'
_cell_length_a 3.087
_cell_length_b 4.019
_cell_length_c 7.627
_cell_angle_alpha 90.00
_cell_angle_beta 90.00
_cell_angle_gamma 90.00
loop_
_atom_site_label
_atom_site_type_symbol
_atom_site_fract_x
_atom_site_fract_y
_atom_site_fract_z
Be1 Be 0.000 0.000 0.000
Be2 Be 0.000 0.500 0.274
Os1 Os 0.000 0.500 0.751
Se1 Se 0.000 0.000 0.533

The following ΔE_f (raw) values (in eV per atom) correspond, in order, to the records above: 0.4117, 0.3944, 0.3367, 0.3190.